The following is a GGA+U calculation of BaCo2Os2O7 after structural relaxation, from the Alexandria database.

## Properties
- VASP energy (eV/atom) = -6.921

a b c (Å): 3.793 18.717 4.211
angles (deg): 90.00 90.00 90.00
Space group Imm2 (No. 44)
Unique sites:
1 Ba 0.000 0.000 0.000 [2 per cell]
2 Co 0.000 0.269 0.487 [4 per cell]
3 Os 0.000 0.390 0.977 [4 per cell]
4 O 0.000 0.110 0.477 [4 per cell]
5 O 0.000 0.277 0.971 [4 per cell]
6 O 0.000 0.375 0.475 [4 per cell]
7 O 0.000 0.500 0.062 [2 per cell]